Record 1
VASP calculation (PBE) on a geometry-optimized CsV3Pt structure.

Uncorrected energy   -4.30 eV per atom
Energy relative to the lowest polymorph listed for this composition   1481 meV per atom
ΔE_f   2.5520 eV per atom

Cell: 4.7124 4.7124 4.7124 Å, 90.00 90.00 90.00°
Last column: nearest neighbours and their distance in Å.
Fractional coordinates of all 5 atoms:
Cs 0.0000 0.0000 0.0000  6 V 2.36
Pt 0.5000 0.5000 0.5000  12 V 3.33
V 0.0000 0.5000 0.0000  2 Cs 2.36
V 0.0000 0.0000 0.5000  2 Cs 2.36
V 0.5000 0.0000 0.0000  2 Cs 2.36

---

Record 2
VASP calculation (PBE) on a geometry-optimized Tl2CrPb structure.

Uncorrected energy   -4.18 eV per atom
Energy relative to the lowest polymorph listed for this composition   0 meV per atom
ΔE_f   0.3348 eV per atom

Cell: 3.4353 3.4353 9.0039 Å, 90.00 90.00 90.00°
Last column: nearest neighbours and their distance in Å.
Fractional coordinates of all 4 atoms:
Cr 0.0000 0.0000 0.4960  4 Tl 3.03, 4 Pb 3.04
Pb 0.5000 0.5000 0.6998  4 Cr 3.04
Tl 0.0000 0.0000 0.0091  8 Tl 3.44-3.54, 4 Pb 3.70
Tl 0.5000 0.5000 0.2951  4 Cr 3.03

---

Record 3
VASP calculation (PBE) on a geometry-optimized GaTeI2 structure.

E_form (uncorrected)   257 meV/atom
Uncorrected energy   -2.06 eV per atom
Energy relative to the lowest polymorph listed for this composition   518 meV per atom

Cell: 5.6689 5.6689 5.6689 Å, 60.00 60.00 60.00°
Last column: nearest neighbours and their distance in Å.
Fractional coordinates of all 4 atoms:
I 0.2500 0.2500 0.2500  4 Te 3.47, 4 Ga 3.47
I 0.7500 0.7500 0.7500  4 Ga 3.47, 4 Te 3.47
Te 0.5000 0.5000 0.5000  8 I 3.47
Ga 0.0000 0.0000 0.0000  8 I 3.47

---

Record 4
VASP calculation (PBE) on a geometry-optimized Mn2CrPt structure.

Uncorrected energy   -8.56 eV per atom
ΔE_f   -0.0575 eV per atom

Cell: 4.7594 4.7594 4.4863 Å, 77.11 77.11 34.56°
Last column: nearest neighbours and their distance in Å.
Fractional coordinates of all 4 atoms:
Cr 0.7456 0.7456 0.7696  7 Mn 2.57-2.77, 3 Pt 2.73-2.83, 2 Cr 2.83
Mn 0.0084 0.0084 0.9824  3 Cr 2.57-2.77, 4 Pt 2.65-2.66, 5 Mn 2.75-2.83
Mn 0.2489 0.2489 0.2585  4 Cr 2.62-2.69, 3 Pt 2.68-2.69, 5 Mn 2.75-2.83
Pt 0.4972 0.4972 0.4894  7 Mn 2.65-2.69, 3 Cr 2.73-2.83, 2 Pt 2.83

---

Record 5
VASP calculation (PBE) on a geometry-optimized SrPrMgCd structure.

Uncorrected energy   -2.42 eV per atom
Energy relative to the lowest polymorph listed for this composition   23 meV per atom
ΔE_f   -0.1735 eV per atom

Cell: 5.6456 5.6456 5.6456 Å, 60.00 60.00 60.00°
Last column: nearest neighbours and their distance in Å.
Fractional coordinates of all 4 atoms:
Pr 0.5000 0.5000 0.5000  4 Cd 3.46, 4 Mg 3.46
Sr 0.0000 0.0000 0.0000  4 Mg 3.46, 4 Cd 3.46
Mg 0.2500 0.2500 0.2500  4 Pr 3.46, 4 Sr 3.46
Cd 0.7500 0.7500 0.7500  4 Pr 3.46, 4 Sr 3.46

---

Record 6
VASP calculation (PBE) on a geometry-optimized Ca2PRh structure.

Uncorrected energy   -4.38 eV per atom
ΔE_f   -0.1935 eV per atom

Cell: 3.9784 3.9784 5.8890 Å, 90.00 90.00 90.00°
Last column: nearest neighbours and their distance in Å.
Fractional coordinates of all 4 atoms:
Ca 0.0000 0.0000 0.9273  2 P 2.88-3.01, 4 Rh 2.90
Ca 0.5000 0.5000 0.3295  2 Rh 2.80-3.09, 4 P 2.89
P 0.0000 0.0000 0.4385  6 Ca 2.88-3.01
Rh 0.5000 0.5000 0.8047  6 Ca 2.80-3.09

---

Record 7
VASP calculation (PBE) on a geometry-optimized La2AgMo structure.

Uncorrected energy   -5.63 eV per atom
Energy relative to the lowest polymorph listed for this composition   77 meV per atom
ΔE_f   0.2566 eV per atom

Cell: 5.2345 5.2345 5.2345 Å, 60.00 60.00 60.00°
Last column: nearest neighbours and their distance in Å.
Fractional coordinates of all 4 atoms:
Mo 0.0000 0.0000 0.0000  8 La 3.21
Ag 0.5000 0.5000 0.5000  8 La 3.21
La 0.2500 0.2500 0.2500  4 Ag 3.21, 4 Mo 3.21
La 0.7500 0.7500 0.7500  4 Ag 3.21, 4 Mo 3.21

---

Record 8
VASP calculation (PBE) on a geometry-optimized ZnAuBr structure.

E_form (uncorrected)   151 meV/atom
Uncorrected energy   -1.92 eV per atom
Energy relative to the lowest polymorph listed for this composition   469 meV per atom

Cell: 4.6065 4.6065 4.6065 Å, 60.00 60.00 60.00°
Last column: nearest neighbours and their distance in Å.
Fractional coordinates of all 3 atoms:
Au 0.0000 0.0000 0.0000  4 Zn 2.82
Br 0.5000 0.5000 0.5000  4 Zn 2.82
Zn 0.7500 0.7500 0.7500  4 Br 2.82, 4 Au 2.82